(1)
Below is crystalline BaHf2FeTc at its relaxed geometry, with properties calculated at the PBE level.

Cell: 5.1928 5.1928 4.8066 Å, 90.00 90.00 90.00°
With the nearest neighbours (Å) after each atom.
Space group P4/mmm (No. 123)
One atom of each set of equivalent atoms:
Ba1 0.0000 0.0000 0.0000 [1 per cell]  2 Tc 2.40, 4 Hf 2.60
Hf1 0.0000 0.5000 0.0000 [2 per cell]  2 Ba 2.60
Fe1 0.5000 0.5000 0.5000 [1 per cell]  8 Hf 3.54, 4 Tc 3.67
Tc1 0.0000 0.0000 0.5000 [1 per cell]  2 Ba 2.40

* VASP energy: -26.524 eV per cell
* formation enthalpy at 0 K: 2827 meV/atom
* DOS(E_F): 7.60 states/eV/cell
* mass density: 8.30 g cm⁻³
* V: 25.9 Å³/atom

(2)
Below is crystalline BaFeHg2 at its relaxed geometry, with properties calculated at the PBE level.

Cell: 7.6351 7.6351 7.6351 Å, 90.00 90.00 90.00°
With the nearest neighbours (Å) after each atom.
Space group Fm-3m (No. 225)
One atom of each set of equivalent atoms:
Ba1 0.0000 0.0000 0.0000 [4 per cell]  8 Hg 3.31
Fe1 0.0000 0.0000 0.5000 [4 per cell]  8 Hg 3.31
Hg1 0.2500 0.2500 0.2500 [8 per cell]  4 Ba 3.31, 4 Fe 3.31

* VASP energy: -39.814 eV per cell
* formation enthalpy at 0 K: 259 meV/atom
* DOS(E_F): 18.27 states/eV/cell
* mass density: 8.87 g cm⁻³
* V: 27.8 Å³/atom

(3)
Below is crystalline BaFeHg2 at its relaxed geometry, with properties calculated at the PBE level.

Cell: 4.8285 4.8285 4.8444 Å, 90.00 90.00 90.00°
With the nearest neighbours (Å) after each atom.
Space group P4/mmm (No. 123)
One atom of each set of equivalent atoms:
Ba1 0.0000 0.0000 0.0000 [1 per cell]  4 Fe 3.41, 8 Hg 3.42
Fe1 0.5000 0.5000 0.0000 [1 per cell]  4 Ba 3.41, 8 Hg 3.42
Hg1 0.0000 0.5000 0.5000 [2 per cell]  4 Hg 3.41, 4 Fe 3.42, 4 Ba 3.42

* VASP energy: -9.717 eV per cell
* formation enthalpy at 0 K: 318 meV/atom
* DOS(E_F): 6.08 states/eV/cell
* mass density: 8.74 g cm⁻³
* V: 28.2 Å³/atom

(4)
Below is crystalline BaFe2Hg at its relaxed geometry, with properties calculated at the PBE level.

Cell: 4.5752 4.5752 4.5631 Å, 90.00 90.00 90.00°
With the nearest neighbours (Å) after each atom.
Space group P4/mmm (No. 123)
One atom of each set of equivalent atoms:
Ba1 0.0000 0.0000 0.0000 [1 per cell]  8 Fe 3.23, 4 Hg 3.24
Fe1 0.0000 0.5000 0.5000 [2 per cell]  4 Hg 3.23, 4 Ba 3.23, 4 Fe 3.24
Hg1 0.5000 0.5000 0.0000 [1 per cell]  8 Fe 3.23, 4 Ba 3.24

* excess energy over the best structure of this formula in the dataset: 539.4 meV per atom
* VASP energy: -15.686 eV per cell
* formation enthalpy at 0 K: 866 meV/atom
* DOS(E_F): 4.91 states/eV/cell
* mass density: 7.82 g cm⁻³
* V: 23.9 Å³/atom

Copy entry 4 word for word.
Below is crystalline BaFe2Hg at its relaxed geometry, with properties calculated at the PBE level.

Cell: 4.5752 4.5752 4.5631 Å, 90.00 90.00 90.00°
With the nearest neighbours (Å) after each atom.
Space group P4/mmm (No. 123)
One atom of each set of equivalent atoms:
Ba1 0.0000 0.0000 0.0000 [1 per cell]  8 Fe 3.23, 4 Hg 3.24
Fe1 0.0000 0.5000 0.5000 [2 per cell]  4 Hg 3.23, 4 Ba 3.23, 4 Fe 3.24
Hg1 0.5000 0.5000 0.0000 [1 per cell]  8 Fe 3.23, 4 Ba 3.24

* excess energy over the best structure of this formula in the dataset: 539.4 meV per atom
* VASP energy: -15.686 eV per cell
* formation enthalpy at 0 K: 866 meV/atom
* DOS(E_F): 4.91 states/eV/cell
* mass density: 7.82 g cm⁻³
* V: 23.9 Å³/atom